Material: Hg3Au
Method: DFT, GGA-PBEsol
State: relaxed

Summary:
ΔE_f = 0.055 eV per atom
SG = No. 63
density = 14.84 g cm⁻³

```
Hg3Au
1.0
2.848 -8.230 0.000
2.848 8.230 0.000
0.000 0.000 3.813
Hg Au
6 2
direct
0.176 0.316 0.750 Hg
0.202 0.798 0.750 Hg
0.316 0.176 0.250 Hg
0.684 0.824 0.750 Hg
0.798 0.202 0.250 Hg
0.824 0.684 0.250 Hg
0.330 0.670 0.250 Au
0.670 0.330 0.750 Au
```

---

Material: Sc4Tl5
Method: DFT, GGA-PBEsol
State: relaxed

Summary:
ΔE_f = -0.281 eV per atom
SG = No. 193
density = 9.67 g cm⁻³

```
Sc4Tl5
1.0
8.775 0.000 0.000
-4.387 7.599 0.000
0.000 0.000 6.188
Sc Tl
8 10
direct
0.000 0.000 0.000 Sc
0.000 0.000 0.500 Sc
0.000 0.369 0.250 Sc
0.000 0.631 0.750 Sc
0.369 0.000 0.250 Sc
0.369 0.369 0.750 Sc
0.631 0.000 0.750 Sc
0.631 0.631 0.250 Sc
0.000 0.295 0.750 Tl
0.000 0.705 0.250 Tl
0.295 0.000 0.750 Tl
0.295 0.295 0.250 Tl
0.333 0.667 0.000 Tl
0.333 0.667 0.500 Tl
0.667 0.333 0.000 Tl
0.667 0.333 0.500 Tl
0.705 0.000 0.250 Tl
0.705 0.705 0.750 Tl
```

---

Material: InIr4Au
Method: DFT, GGA-PBEsol
State: relaxed

Summary:
ΔE_f = 0.455 eV per atom
SG = No. 216
density = 18.22 g cm⁻³

```
InIr4Au
1.0
0.000 3.666 3.666
3.666 0.000 3.666
3.666 3.666 0.000
In Ir Au
1 4 1
direct
0.000 0.000 0.000 In
0.375 0.375 0.375 Ir
0.375 0.375 0.875 Ir
0.375 0.875 0.375 Ir
0.875 0.375 0.375 Ir
0.750 0.750 0.750 Au
```